1.
Ac4La3NpN8 (PBE, relaxed); VASP energy = -8.07 eV per atom
1.0
3.7573 2.1693 6.1933
-3.7573 2.1693 6.1933
0.0000 -4.3385 6.1933
Ac La Np N
4 3 1 8
Cartesian
0.0000 0.0000 0.0000
-1.8786 -1.0846 6.1933
-1.8786 1.0846 12.3865
0.0000 2.1693 6.1932
-3.7573 0.0000 9.2899
-1.8786 1.0846 3.0966
1.8786 1.0846 3.0966
0.0000 0.0000 9.2899
0.0000 0.0000 4.5627
-1.6574 -0.9569 10.5961
0.0000 -1.9138 7.9837
-1.6574 0.9569 7.9837
1.6574 -0.9569 10.5961
0.0000 1.9138 10.5961
1.6574 0.9569 7.9837
0.0000 0.0000 14.0171

2.
LaYTe2Au (PBE, relaxed); VASP energy = -4.16 eV per atom
1.0
5.6349 0.0000 0.0000
0.0000 5.6349 0.0000
0.0000 0.0000 6.3589
La Y Te Au
1 1 2 1
Cartesian
0.0000 0.0000 0.0000
0.0000 0.0000 3.1794
0.0000 2.8174 3.1794
2.8174 0.0000 3.1794
2.8174 2.8174 0.0000

3.
SrCrCl2 (PBE, relaxed); VASP energy = -4.60 eV per atom; energy above the most stable polymorph in this dataset = 72 meV per atom
1.0
0.0000 3.6853 3.6853
3.6853 0.0000 3.6853
3.6853 3.6853 0.0000
Sr Cr Cl
1 1 2
Cartesian
0.0000 0.0000 0.0000
3.6853 3.6853 3.6853
1.8427 1.8427 1.8427
5.5280 5.5280 5.5280

4.
GePbF (PBE, relaxed); VASP energy = -4.16 eV per atom
1.0
13.3999 0.0000 0.0000
0.0000 1.6446 2.9895
0.0000 -1.6446 2.9895
Ge Pb F
2 2 2
Cartesian
0.0000 0.0000 0.0000
6.6999 0.0000 2.0564
2.5861 0.0000 4.2542
10.8137 0.0000 4.2542
5.1637 0.0000 5.0650
8.2362 0.0000 5.0650

5.
DyTlCdAg (PBE, relaxed); ΔH_f (0 K) = -0.2164 eV/atom; VASP energy = -2.90 eV per atom
1.0
0.0000 3.5940 3.5940
3.5940 0.0000 3.5940
3.5940 3.5940 0.0000
Dy Tl Cd Ag
1 1 1 1
Cartesian
0.0000 0.0000 0.0000
1.7970 1.7970 1.7970
3.5940 3.5940 3.5940
5.3909 5.3909 5.3909

6.
Cd2OsSe (PBE, relaxed); VASP energy = -3.61 eV per atom
1.0
2.9656 0.0000 0.0000
0.0000 2.9656 0.0000
0.0000 0.0000 9.0471
Cd Os Se
2 1 1
Cartesian
0.0000 0.0000 1.9476
0.0000 0.0000 7.0995
1.4828 1.4828 0.0000
1.4828 1.4828 4.5236

7.
BaNd3Tl4 (PBE, relaxed); ΔH_f (0 K) = -0.3384 eV/atom; VASP energy = -3.55 eV per atom
1.0
11.4029 0.0000 0.0000
0.0000 7.7480 0.0000
0.0000 0.0000 5.7853
Ba Nd Tl
2 6 8
Cartesian
0.0000 0.0000 0.0000
5.7014 0.0000 0.0000
0.0000 3.8740 0.0000
2.8507 0.0000 2.6501
2.8507 3.8740 2.5476
5.7014 3.8740 0.0000
8.5522 0.0000 3.1352
8.5522 3.8740 3.2377
0.0000 2.0835 2.8926
0.0000 5.6645 2.8926
2.8507 2.0912 5.3974
2.8507 5.6568 5.3974
5.7014 2.0835 2.8926
5.7014 5.6645 2.8926
8.5522 2.0912 0.3879
8.5522 5.6568 0.3879

8.
PmNiAgH6 (PBE, relaxed); VASP energy = -3.88 eV per atom
1.0
4.6224 0.0000 0.0000
-2.3112 4.0031 0.0000
0.0000 0.0000 4.3608
Pm Ni Ag H
1 1 1 6
Cartesian
0.0000 0.0000 0.0000
2.3112 1.3344 2.1804
0.0000 2.6688 2.1804
2.3112 0.1785 1.0211
2.3112 0.1785 3.3397
1.3102 1.9123 1.0211
1.3102 1.9123 3.3397
3.3123 1.9123 1.0211
3.3123 1.9123 3.3397

no.,density of states at the Fermi level (states/eV per atom),total moment (μB per cell)
1,0.34,2.68
2,0.81,0.00
3,0.06,5.98
4,0.40,0.00
5,0.74,0.00
6,0.91,0.43
7,0.89,0.00
8,0.21,0.00